1.
First-principles (PBE-GGA) data for a relaxed LuAl2Tc crystal, as listed in Alexandria via LeMat-Bulk.

```
LuAl2Tc
1.0
3.2701 0.0000 0.0000
0.0000 3.2701 0.0000
0.0000 0.0000 6.6363
Lu Al Tc
1 2 1
Cartesian
0.0000 0.0000 0.0000
1.6350 1.6350 2.0334
1.6350 1.6350 4.6029
0.0000 0.0000 3.3181
```

## Properties
E above lowest polymorph, eV/atom: 0.000
Electronic total energy, eV per atom: -5.935
Size of the total moment, μB per formula unit: 0.0
Volume, A^3/atom: 17.74
Formation energy, eV per formula unit: -1.4
SG: P4/mmm

2.
First-principles (PBE-GGA) data for a relaxed Lu2AlTc crystal, as listed in Alexandria via LeMat-Bulk.

```
Lu2AlTc
1.0
3.4765 0.0000 0.0000
0.0000 3.4765 0.0000
0.0000 0.0000 6.8769
Lu Al Tc
2 1 1
Cartesian
0.0000 0.0000 1.5649
0.0000 0.0000 5.3120
1.7383 1.7383 3.4384
1.7383 1.7383 0.0000
```

## Properties
E above lowest polymorph, eV/atom: 0.000
Electronic total energy, eV per atom: -6.059
Size of the total moment, μB per formula unit: 0.0
Volume, A^3/atom: 20.78
Formation energy, eV per formula unit: -1.1
SG: P4/mmm

3.
First-principles (PBE-GGA) data for a relaxed LuAl2Tc crystal, as listed in Alexandria via LeMat-Bulk.

```
LuAl2Tc
1.0
0.0000 3.2485 3.2485
3.2485 0.0000 3.2485
3.2485 3.2485 0.0000
Lu Al Tc
1 2 1
Cartesian
0.0000 0.0000 0.0000
1.6243 1.6243 1.6243
4.8728 4.8728 4.8728
3.2485 3.2485 3.2485
```

## Properties
E above lowest polymorph, eV/atom: 0.091
Electronic total energy, eV per atom: -5.844
Size of the total moment, μB per formula unit: 0.0
Volume, A^3/atom: 17.14
Formation energy, eV per formula unit: -1.0
SG: Fm-3m

4.
First-principles (PBE-GGA) data for a relaxed LuAlTc crystal, as listed in Alexandria via LeMat-Bulk.

```
LuAlTc
1.0
4.3369 0.0000 0.0000
-2.1685 3.7559 0.0000
0.0000 0.0000 3.5575
Lu Al Tc
1 1 1
Cartesian
0.0000 0.0000 0.0000
2.1685 1.2520 1.7787
0.0000 2.5039 1.7787
```

## Properties
E above lowest polymorph, eV/atom: 0.104
Electronic total energy, eV per atom: -6.413
Size of the total moment, μB per formula unit: 0.0
Volume, A^3/atom: 19.32
Formation energy, eV per formula unit: -0.6
SG: P-6m2

5.
First-principles (PBE-GGA) data for a relaxed Lu2AlTc crystal, as listed in Alexandria via LeMat-Bulk.

```
Lu2AlTc
1.0
1.6477 0.9513 10.1973
-1.6477 0.9513 10.1973
0.0000 -1.9026 10.1973
Lu Al Tc
2 1 1
Cartesian
0.0000 0.0000 3.0783
0.0000 0.0000 27.5135
0.0000 0.0000 0.0000
0.0000 0.0000 15.2959
```

## Properties
E above lowest polymorph, eV/atom: 0.548
Electronic total energy, eV per atom: -5.511
Size of the total moment, μB per formula unit: 0.0
Volume, A^3/atom: 23.98
Formation energy, eV per formula unit: 1.1
SG: R-3m

6.
First-principles (PBE-GGA) data for a relaxed LuAlTc crystal, as listed in Alexandria via LeMat-Bulk.

```
LuAlTc
1.0
-1.6958 1.6958 4.8106
1.6958 -1.6958 4.8106
1.6958 1.6958 -4.8106
Lu Al Tc
1 1 1
Cartesian
0.0000 0.0000 0.0000
0.0000 0.0000 2.8401
0.0000 0.0000 6.5676
```

## Properties
E above lowest polymorph, eV/atom: 0.000
Electronic total energy, eV per atom: -6.517
Size of the total moment, μB per formula unit: 0.0
Volume, A^3/atom: 18.45
Formation energy, eV per formula unit: -0.9
SG: I4mm